Entry 1:
MgScCl2, relaxed, DFT PBEsol; offset from the most stable computed form = 0.911 eV per atom; formation energy without anion corrections = -357 meV/atom; SG = F-43m; crystal system = cubic; magnetic moment = 0.867 μB per formula unit; electronic total energy = -13.767 eV for the cell shown; Fermi-level density of states = 4.7 states/eV per cell
1.0
-2.0926 -4.4680 -0.5732
1.1661 -3.7042 3.0967
-3.3381 -1.6209 3.3015
Cl Mg Sc
2 1 1
direct
0.0000 0.0000 0.0000
0.2500 0.2500 0.2500
0.5000 0.5000 0.5000
0.7500 0.7500 0.7500

=====

Entry 2:
MgSeCl2, relaxed, DFT PBEsol; offset from the most stable computed form = 0.000 eV per atom; formation energy without anion corrections = -961 meV/atom; SG = R-3m; crystal system = trigonal; magnetic moment = 0.497 μB per formula unit; electronic total energy = -13.427 eV for the cell shown; Fermi-level density of states = 1.5 states/eV per cell
1.0
3.3316 0.0000 0.0000
1.6658 2.8853 0.0000
1.6658 0.9618 10.4164
Cl Se Mg
2 1 1
direct
0.7860 0.7860 0.6421
0.2140 0.2140 0.3579
0.0000 0.0000 0.0000
0.5000 0.5000 0.5000

=====

Entry 3:
MgSeCl2, relaxed, DFT PBEsol; offset from the most stable computed form = 0.028 eV per atom; formation energy without anion corrections = -933 meV/atom; SG = Pm; crystal system = monoclinic; magnetic moment = 0.000 μB per formula unit; electronic total energy = -13.315 eV for the cell shown
1.0
3.9094 0.0000 0.0000
0.0000 4.8842 0.0083
0.0000 -1.1738 4.9341
Mg Cl Se
1 2 1
direct
0.0000 0.5164 0.9774
0.0000 0.0202 0.0185
0.5000 0.6357 0.3687
0.5000 0.3277 0.6354

=====

Entry 4:
MgZrSe2Cl, relaxed, DFT PBEsol; formation energy without anion corrections = -464 meV/atom; SG = P4/mmm; crystal system = tetragonal; magnetic moment = 0.978 μB per formula unit; electronic total energy = -22.834 eV for the cell shown; Fermi-level density of states = 3.6 states/eV per cell
1.0
4.4068 0.0000 0.0000
0.0000 5.0204 0.0000
0.0000 0.0000 5.0204
Mg Cl Se Zr
1 1 2 1
direct
0.0000 0.0000 0.0000
0.5000 0.0000 0.0000
0.0000 0.0000 0.5000
0.0000 0.5000 0.0000
0.5000 0.5000 0.5000

=====

Entry 5:
MgSiCl, relaxed, DFT PBEsol; formation energy without anion corrections = 328 meV/atom; SG = F-43m; crystal system = cubic; magnetic moment = 1.226 μB per formula unit; electronic total energy = -8.488 eV for the cell shown; Fermi-level density of states = 2.8 states/eV per cell
1.0
-2.2850 -3.4525 2.0955
1.1025 -4.4110 -0.9275
2.1344 -2.5824 3.2106
Si Mg Cl
1 1 1
direct
0.0000 0.0000 0.0000
0.2500 0.2500 0.2500
0.5000 0.5000 0.5000

=====

Entry 6:
MgSiCl2, relaxed, DFT PBEsol; offset from the most stable computed form = 0.000 eV per atom; formation energy without anion corrections = -613 meV/atom; SG = Cm; crystal system = monoclinic; magnetic moment = 0.000 μB per formula unit; electronic total energy = -13.930 eV for the cell shown; Fermi-level density of states = 0.9 states/eV per cell
1.0
3.1390 0.0000 0.0000
0.0000 5.3966 -0.0095
-1.5695 -1.1781 5.1872
Cl Mg Si
2 1 1
direct
0.1809 0.6213 0.3619
0.9774 0.9954 0.9548
0.5100 0.6352 0.0199
0.8317 0.2482 0.6634

=====

Entry 7:
MgSiCl2, relaxed, DFT PBEsol; offset from the most stable computed form = 0.031 eV per atom; formation energy without anion corrections = -581 meV/atom; SG = C2/m; crystal system = monoclinic; magnetic moment = 0.000 μB per formula unit; electronic total energy = -13.805 eV for the cell shown; Fermi-level density of states = 0.9 states/eV per cell
1.0
-0.9173 3.0189 0.0531
-2.6531 -0.7277 -4.4580
-3.3702 -2.7408 3.8295
Mg Cl Si
1 2 1
direct
0.5000 0.0000 0.0000
0.1578 0.2108 0.3157
0.8422 0.7892 0.6843
0.0000 0.5000 0.0000

=====

Entry 8:
MgSiCl2, relaxed, DFT PBEsol; offset from the most stable computed form = 0.084 eV per atom; formation energy without anion corrections = -529 meV/atom; SG = P4mm; crystal system = tetragonal; magnetic moment = 0.000 μB per formula unit; electronic total energy = -13.594 eV for the cell shown; Fermi-level density of states = 0.7 states/eV per cell
1.0
-0.0303 -3.1472 -0.0812
0.3417 -0.0840 3.1287
-7.8200 0.0531 0.8555
Mg Si Cl
1 1 2
direct
0.0000 0.0000 0.4977
0.5000 0.5000 0.7342
0.0000 0.0000 0.9396
0.5000 0.5000 0.3285

=====

Entry 9:
Mg2SiCl, relaxed, DFT PBEsol; formation energy without anion corrections = -121 meV/atom; SG = I-4m2; crystal system = tetragonal; magnetic moment = 0.000 μB per formula unit; electronic total energy = -11.672 eV for the cell shown; Fermi-level density of states = 1.9 states/eV per cell
1.0
3.8044 0.0000 0.0000
0.0000 3.8044 0.0000
-1.9022 -1.9022 5.7414
Cl Mg Si
1 2 1
direct
0.2500 0.7500 0.5000
0.0000 0.0000 0.0000
0.7500 0.2500 0.5000
0.5000 0.5000 0.0000

=====

Entry 10:
MgSiCl, relaxed, DFT PBEsol; formation energy without anion corrections = -342 meV/atom; SG = P3m1; crystal system = trigonal; magnetic moment = 0.000 μB per formula unit; electronic total energy = -10.498 eV for the cell shown; Fermi-level density of states = 1.5 states/eV per cell
1.0
3.1931 0.0000 0.0000
-1.5965 2.7653 0.0000
0.0000 0.0000 7.3769
Cl Si Mg
1 1 1
direct
0.0000 0.0000 0.9081
0.6667 0.3333 0.3946
0.3333 0.6667 0.6973

=====

Entry 11:
MgSiCl4, relaxed, DFT PBEsol; formation energy without anion corrections = 438 meV/atom; SG = F-43m; crystal system = cubic; magnetic moment = 1.432 μB per formula unit; electronic total energy = -12.868 eV for the cell shown; Fermi-level density of states = 4.2 states/eV per cell
1.0
-5.5529 1.1342 -0.8132
-3.9529 -2.5758 3.2438
-2.9077 3.0148 3.9037
Si Mg Cl
1 1 4
direct
0.0000 0.0000 0.0000
0.7500 0.7500 0.7500
0.8725 0.3758 0.3758
0.3758 0.3758 0.3758
0.3758 0.3758 0.8725
0.3758 0.8725 0.3758

=====

Entry 12:
Mg2SnCl, relaxed, DFT PBEsol; formation energy without anion corrections = -285 meV/atom; SG = Fm-3m; crystal system = cubic; magnetic moment = 0.000 μB per formula unit; electronic total energy = -10.840 eV for the cell shown; Fermi-level density of states = 4.5 states/eV per cell
1.0
5.0434 0.0000 0.0000
2.5217 4.3677 0.0000
2.5217 1.4559 4.1179
Cl Mg Sn
1 2 1
direct
0.0000 0.0000 0.0000
0.2500 0.2500 0.2500
0.7500 0.7500 0.7500
0.5000 0.5000 0.5000

=====

Entry 13:
MgSn2Cl, relaxed, DFT PBEsol; formation energy without anion corrections = -86 meV/atom; SG = Fm-3m; crystal system = cubic; magnetic moment = 0.001 μB per formula unit; electronic total energy = -12.588 eV for the cell shown; Fermi-level density of states = 3.2 states/eV per cell
1.0
5.1218 0.0000 0.0000
2.5609 4.4356 0.0000
2.5609 1.4785 4.1819
Sn Cl Mg
2 1 1
direct
0.7500 0.7500 0.7500
0.2500 0.2500 0.2500
0.5000 0.5000 0.5000
0.0000 0.0000 0.0000

=====

Entry 14:
Mg2TiSnCl, relaxed, DFT PBEsol; formation energy without anion corrections = 43 meV/atom; SG = P4/mmm; crystal system = tetragonal; magnetic moment = 0.871 μB per formula unit; electronic total energy = -17.810 eV for the cell shown; Fermi-level density of states = 4.9 states/eV per cell
1.0
4.5516 0.0000 0.0000
0.0000 4.8199 0.0000
0.0000 0.0000 4.8199
Cl Sn Mg Ti
1 1 2 1
direct
0.0000 0.0000 0.0000
0.5000 0.5000 0.5000
0.0000 0.0000 0.5000
0.0000 0.5000 0.0000
0.5000 0.0000 0.0000

=====

Entry 15:
SrMg2Cl, relaxed, DFT PBEsol; offset from the most stable computed form = 0.106 eV per atom; formation energy without anion corrections = -516 meV/atom; SG = Imm2; crystal system = orthorhombic; magnetic moment = 0.001 μB per formula unit; electronic total energy = -9.346 eV for the cell shown; Fermi-level density of states = 2.8 states/eV per cell
1.0
3.7818 0.0000 0.0000
0.0000 6.2072 0.0000
-1.8909 -3.1036 5.0102
Mg Sr Cl
2 1 1
direct
0.9666 0.9666 0.9333
0.7329 0.2329 0.4658
0.5399 0.5399 0.0798
0.2606 0.7606 0.5212

=====

Entry 16:
Sr2MgCl, relaxed, DFT PBEsol; formation energy without anion corrections = -788 meV/atom; SG = P4mm; crystal system = tetragonal; magnetic moment = 0.003 μB per formula unit; electronic total energy = -10.557 eV for the cell shown; Fermi-level density of states = 3.4 states/eV per cell
1.0
-0.9624 -3.3205 2.0952
4.3741 1.1828 3.8837
-3.8031 3.1916 3.3113
Cl Mg Sr
1 1 2
direct
0.7532 0.0000 0.0000
0.2522 0.5000 0.5000
0.7518 0.5000 0.0000
0.7518 0.0000 0.5000

=====

Entry 17:
SrMg2Cl, relaxed, DFT PBEsol; offset from the most stable computed form = 0.000 eV per atom; formation energy without anion corrections = -622 meV/atom; SG = C2/m; crystal system = monoclinic; magnetic moment = 0.000 μB per formula unit; electronic total energy = -9.769 eV for the cell shown; Fermi-level density of states = 2.3 states/eV per cell
1.0
-3.1572 2.2943 0.7739
-0.9593 -2.6175 3.4337
5.8132 3.9904 1.8639
Cl Mg Sr
1 2 1
direct
0.5000 0.0000 0.0000
0.0000 0.0000 0.5000
0.5000 0.5000 0.5000
0.0000 0.5000 0.0000

=====

Entry 18:
MgTa3Cl, relaxed, DFT PBEsol; offset from the most stable computed form = 1.529 eV per atom; formation energy without anion corrections = 2317 meV/atom; SG = Pm-3m; crystal system = cubic; magnetic moment = 0.000 μB per formula unit; electronic total energy = -29.793 eV for the cell shown; Fermi-level density of states = 4.0 states/eV per cell
1.0
4.7669 0.0000 0.0000
0.0000 4.7669 0.0000
0.0000 0.0000 4.7669
Ta Mg Cl
3 1 1
direct
0.0000 0.5000 0.0000
0.5000 0.0000 0.0000
0.0000 0.0000 0.5000
0.0000 0.0000 0.0000
0.5000 0.5000 0.5000

=====

Entry 19:
Mg2TaCl, relaxed, DFT PBEsol; offset from the most stable computed form = 0.000 eV per atom; formation energy without anion corrections = -263 meV/atom; SG = R-3m; crystal system = trigonal; magnetic moment = 0.000 μB per formula unit; electronic total energy = -19.045 eV for the cell shown; Fermi-level density of states = 3.1 states/eV per cell
1.0
-1.6920 0.9088 2.4910
-0.7165 -2.0722 2.2553
6.4888 1.6660 5.7855
Mg Ta Cl
2 1 1
direct
0.2558 0.2558 0.2327
0.7442 0.7442 0.7673
0.5000 0.5000 0.5000
0.0000 0.0000 0.0000

=====

Entry 20:
MgTa3Cl, relaxed, DFT PBEsol; offset from the most stable computed form = 0.000 eV per atom; formation energy without anion corrections = 788 meV/atom; SG = Pm-3m; crystal system = cubic; magnetic moment = 0.000 μB per formula unit; electronic total energy = -37.439 eV for the cell shown; Fermi-level density of states = 6.0 states/eV per cell
1.0
4.5299 0.0000 0.0000
0.0000 4.5299 0.0000
0.0000 0.0000 4.5299
Cl Ta Mg
1 3 1
direct
0.0000 0.0000 0.0000
0.0000 0.0000 0.5000
0.0000 0.5000 0.0000
0.5000 0.0000 0.0000
0.5000 0.5000 0.5000